[1]
First-principles (PBE) data for a relaxed NaGeS2 crystal, as listed in the Alexandria database.

Cell and atoms, written as POSCAR:
```
NaGeS2
1.0
1.833 1.058 6.879
-1.833 1.058 6.879
0.000 -2.116 6.879
Na Ge S
1 1 2
direct
0.000 0.000 0.000 Na
0.832 0.832 0.832 Ge
0.237 0.237 0.237 S
0.429 0.429 0.429 S
```

Properties
Space-group type: No. 160
Volume: 20.01 Å³/atom
Formation energy without anion corrections: -2.185 eV per formula unit

[2]
First-principles (PBE) data for a relaxed Na2GeSbS4 crystal, as listed in the Alexandria database.

Cell and atoms, written as POSCAR:
```
Na2GeSbS4
1.0
-3.715 3.715 3.584
3.715 -3.715 3.584
3.715 3.715 -3.584
Na Ge Sb S
2 1 1 4
direct
0.000 0.000 0.000 Na
0.750 0.250 0.500 Na
0.500 0.500 0.000 Ge
0.250 0.750 0.500 Sb
0.145 0.139 0.656 S
0.483 0.489 0.344 S
0.511 0.855 0.994 S
0.861 0.517 0.006 S
```

Properties
Space-group type: No. 82
Volume: 24.74 Å³/atom
Formation energy without anion corrections: -4.587 eV per formula unit

Magnetic moment (computed, Bohr magnetons per cell): 0.00; 1.00